# GGA-PBE K2CaSb, optimized geometry
# space group	P4mm (99)
# E_form (uncorrected)	-0.385	eV/atom
data_K2CaSb
_space_group_name_H-M_alt 'P 1'
_space_group_IT_number 1
_cell_length_a 4.348
_cell_length_b 4.348
_cell_length_c 10.073
_cell_angle_alpha 90.00
_cell_angle_beta 90.00
_cell_angle_gamma 90.00
loop_
_space_group_symop_operation_xyz
'x,y,z'
loop_
_atom_site_label
_atom_site_fract_x
_atom_site_fract_y
_atom_site_fract_z
_atom_site_occupancy
K1 0.000 0.000 0.000 1
K2 0.500 0.500 0.370 1
Ca1 0.500 0.500 0.706 1
Sb1 0.000 0.000 0.632 1